Record 1
DFT (PBE) results for crystalline TmB2 at its relaxed geometry.

Cell lengths 3.2597, 3.2597, 3.7722 Å; angles 90.00, 90.00, 120.00 degrees
Last column: nearest neighbours and their distance in Å.
Atoms (fractional coordinates):
B (0.3333, 0.6667, 0.5000)  3 B 1.88
B (0.6667, 0.3333, 0.5000)  3 B 1.88
Tm (0.0000, 0.0000, 0.0000)  12 B 2.66

Results
ΔH_f (0 K)	-0.656	eV/atom
E above lowest polymorph	0.000	eV per atom



Record 2
DFT (PBE) results for crystalline Hf3MgZr2N6 at its relaxed geometry.

Cell lengths 3.2101, 6.4312, 7.2089 Å; angles 102.83, 102.86, 90.00 degrees
Last column: nearest neighbours and their distance in Å.
Atoms (fractional coordinates):
Hf (0.5000, 0.5000, 0.0000)  6 N 2.21-2.26
Hf (0.8363, 0.1667, 0.6725)  6 N 2.22-2.32
Hf (0.1637, 0.8333, 0.3275)  6 N 2.22-2.32
Mg (0.5000, 0.0000, 0.0000)  6 N 2.28
Zr (0.8317, 0.6625, 0.6634)  6 N 2.31-2.33
Zr (0.1683, 0.3375, 0.3366)  6 N 2.31-2.33
N (0.3334, 0.9248, 0.6667)  3 Hf 2.23-2.32, 1 Mg 2.28, 2 Zr 2.32
N (0.6614, 0.5923, 0.3228)  3 Hf 2.21-2.23, 3 Zr 2.31-2.33
N (0.6666, 0.0752, 0.3333)  3 Hf 2.23-2.32, 1 Mg 2.28, 2 Zr 2.32
N (0.9984, 0.2518, 0.9968)  3 Hf 2.22-2.26, 2 Mg 2.28, 1 Zr 2.33
N (0.0016, 0.7482, 0.0032)  3 Hf 2.22-2.26, 2 Mg 2.28, 1 Zr 2.33
N (0.3386, 0.4077, 0.6772)  3 Hf 2.21-2.23, 3 Zr 2.31-2.33

Results
raw formation energy	-1.655	eV per atom



Record 3
DFT (PBE) results for crystalline K4Cd at its relaxed geometry.

Cell lengths 8.5636, 5.1975, 14.5672 Å; angles 90.00, 90.00, 107.35 degrees
Last column: nearest neighbours and their distance in Å.
Atoms (fractional coordinates):
K (0.2198, 0.6105, 0.6344)  3 Cd 3.59-3.66
K (0.7802, 0.8895, 0.6344)  3 Cd 3.59-3.66
K (0.2366, 0.1174, 0.8754)  7 K 4.31-4.67
K (0.7634, 0.3826, 0.8754)  7 K 4.31-4.67
K (0.7634, 0.8826, 0.1246)  7 K 4.31-4.67
K (0.2366, 0.6174, 0.1246)  7 K 4.31-4.67
K (0.2198, 0.1105, 0.3656)  3 Cd 3.59-3.66
K (0.7802, 0.3895, 0.3656)  3 Cd 3.59-3.66
Cd (0.5000, 0.7500, 0.4446)  2 Cd 3.06
Cd (0.5000, 0.2500, 0.5554)  2 Cd 3.06

Results
ΔH_f (0 K)	0.005	eV/atom
E above lowest polymorph	0.016	eV per atom



Record 4
DFT (PBE) results for crystalline Dy4CdGaRu2 at its relaxed geometry.

Cell lengths 4.9771, 4.9771, 8.6433 Å; angles 73.27, 73.27, 60.00 degrees
Last column: nearest neighbours and their distance in Å.
Atoms (fractional coordinates):
Dy (0.3771, 0.3771, 0.8688)  1 Ga 3.01, 4 Ru 3.03-3.10, 3 Cd 3.07
Dy (0.8735, 0.8735, 0.3796)  4 Ru 3.02-3.06, 3 Ga 3.04, 1 Cd 3.09
Dy (0.1265, 0.1265, 0.6204)  4 Ru 3.02-3.06, 3 Ga 3.04, 1 Cd 3.09
Dy (0.6229, 0.6229, 0.1312)  1 Ga 3.01, 4 Ru 3.03-3.10, 3 Cd 3.07
Cd (0.0000, 0.0000, 0.0000)  8 Dy 3.07-3.09
Ga (0.5000, 0.5000, 0.5000)  8 Dy 3.01-3.04
Ru (0.7498, 0.7498, 0.7507)  8 Dy 3.02-3.10
Ru (0.2502, 0.2502, 0.2493)  8 Dy 3.02-3.10

Results
ΔH_f (0 K)	-0.371	eV/atom



Number 1: total energy -19.80 eV/cell, size of the total moment 0.00 μB/f.u.. Number 2: total energy -118.36 eV/cell, size of the total moment 0.00 μB/f.u.. Number 3: total energy -10.56 eV/cell, size of the total moment 0.00 μB/f.u.. Number 4: total energy -43.87 eV/cell, size of the total moment 0.00 μB/f.u..